Entry 1:
! TeAu2 (GGA-PBE, optimized geometry); values from VASP
&SYSTEM
  ibrav = 0, nat = 6, ntyp = 2
/
ATOMIC_SPECIES
Te 127.60 Te.upf
Au 196.97 Au.upf
CELL_PARAMETERS angstrom
-1.877 1.877 9.765
1.877 -1.877 9.765
1.877 1.877 -9.765
ATOMIC_POSITIONS angstrom
Te 1.877 0.939 2.441
Te 0.000 0.939 7.324
Au 1.877 -0.939 5.889
Au 1.877 -0.939 8.759
Au 0.000 2.816 1.006
Au 0.000 2.816 3.876
! - Uncorrected formation energy: 0.22 eV/atom

Entry 2:
! FeNi2Ru (GGA-PBE, optimized geometry); values from VASP
&SYSTEM
  ibrav = 0, nat = 4, ntyp = 3
/
ATOMIC_SPECIES
Fe 55.84 Fe.upf
Ni 58.69 Ni.upf
Ru 101.07 Ru.upf
CELL_PARAMETERS angstrom
2.592 0.000 0.000
0.000 2.592 0.000
0.000 0.000 7.092
ATOMIC_POSITIONS angstrom
Fe 0.000 0.000 0.000
Ni 0.000 0.000 3.406
Ni 1.296 1.296 1.691
Ru 1.296 1.296 5.233
! - Total DFT energy (no corrections): -7.24 eV per atom

Entry 3:
! GeBRu2 (GGA-PBE, optimized geometry); values from VASP
&SYSTEM
  ibrav = 0, nat = 8, ntyp = 3
/
ATOMIC_SPECIES
Ge 72.64 Ge.upf
B 10.81 B.upf
Ru 101.07 Ru.upf
CELL_PARAMETERS angstrom
-3.333 3.333 2.391
3.333 -3.333 2.391
3.333 3.333 -2.391
ATOMIC_POSITIONS angstrom
Ge 0.000 0.000 0.000
Ge 0.000 3.333 1.196
B 3.333 0.000 1.196
B 0.000 0.000 2.391
Ru 1.667 -1.033 1.794
Ru 2.300 1.667 0.598
Ru 1.667 4.366 -0.598
Ru 1.033 1.667 2.989
! - Distance to the lowest polymorph of the same formula: 218 meV per atom

Entry 4:
! Sr2MnIN (GGA-PBE, optimized geometry); values from VASP
&SYSTEM
  ibrav = 0, nat = 5, ntyp = 4
/
ATOMIC_SPECIES
Sr 87.62 Sr.upf
Mn 54.94 Mn.upf
I 126.90 I.upf
N 14.01 N.upf
CELL_PARAMETERS angstrom
6.229 0.000 0.000
0.000 6.229 0.000
0.000 0.000 4.420
ATOMIC_POSITIONS angstrom
Sr 0.000 3.114 0.000
Sr 3.114 0.000 0.000
Mn 0.000 0.000 2.210
I 3.114 3.114 0.000
N 3.114 3.114 2.210
! - Uncorrected formation energy: 0.85 eV/atom

Entry 5:
! BaBeCd2Ru (GGA-PBE, optimized geometry); values from VASP
&SYSTEM
  ibrav = 0, nat = 5, ntyp = 4
/
ATOMIC_SPECIES
Ba 137.33 Ba.upf
Be 9.01 Be.upf
Cd 112.41 Cd.upf
Ru 101.07 Ru.upf
CELL_PARAMETERS angstrom
6.654 0.000 0.000
0.000 6.654 0.000
0.000 0.000 5.050
ATOMIC_POSITIONS angstrom
Ba 0.000 0.000 0.000
Be 3.327 3.327 2.525
Cd 0.000 3.327 0.000
Cd 3.327 0.000 0.000
Ru 0.000 0.000 2.525
! - Total DFT energy (no corrections): -1.56 eV per atom

Entry 6:
! CdGaTc2W (GGA-PBE, optimized geometry); values from VASP
&SYSTEM
  ibrav = 0, nat = 5, ntyp = 4
/
ATOMIC_SPECIES
Cd 112.41 Cd.upf
Ga 69.72 Ga.upf
Tc 98.00 Tc.upf
W 183.84 W.upf
CELL_PARAMETERS angstrom
4.842 0.000 0.000
0.000 4.842 0.000
0.000 0.000 4.405
ATOMIC_POSITIONS angstrom
Cd 0.000 0.000 0.000
Ga 0.000 0.000 2.203
Tc 0.000 2.421 0.000
Tc 2.421 0.000 0.000
W 2.421 2.421 2.203
! - Total DFT energy (no corrections): -5.04 eV per atom

| no. | magnetic moment (μB/cell) |
| --- | --- |
| 1 | 0.000 |
| 2 | 2.861 |
| 3 | 0.000 |
| 4 | 4.651 |
| 5 | 0.000 |
| 6 | 1.268 |